The following is a DFT calculation (GGA-PBE) of a geometry-optimized Sm5Tm4Cd2 structure.

## Properties
- ΔE_f (meV/atom) = 7

Geometry as extended XYZ:
```
11
Lattice="8.820 0.000 0.000 0.000 3.551 0.000 -0.805 0.000 10.795" Properties=species:S:1:pos:R:3 pbc="T T T"
Sm 0.000 0.000 0.000
Sm 0.131 0.000 3.573
Sm 2.068 0.000 9.140
Sm 5.947 0.000 1.655
Sm 7.884 0.000 7.222
Tm 1.953 1.775 6.056
Tm 2.834 1.775 1.407
Tm 5.181 1.775 9.388
Tm 6.062 1.775 4.739
Cd 3.489 0.000 3.921
Cd 4.526 0.000 6.874
```

=====

The following is a DFT calculation (GGA-PBE) of a geometry-optimized ZrGaP structure.

## Properties
- ΔE_f (meV/atom) = -738
- relative energy among the computed polymorphs (eV/atom) = 0.021

Geometry as extended XYZ:
```
6
Lattice="3.683 0.000 0.000 0.000 3.612 0.000 -1.463 0.000 8.835" Properties=species:S:1:pos:R:3 pbc="T T T"
Zr 0.187 0.903 3.314
Zr 2.033 2.709 5.521
Ga -0.435 2.709 8.206
Ga 2.655 0.903 0.628
P 0.185 0.903 6.020
P 2.035 2.709 2.815
```

=====

The following is a DFT calculation (GGA-PBE) of a geometry-optimized Sm3NpTe6 structure.

## Properties
- ΔE_f (raw) (eV/atom) = -1.208

Geometry as extended XYZ:
```
20
Lattice="12.652 0.000 0.000 0.000 4.415 0.000 -4.274 0.000 12.236" Properties=species:S:1:pos:R:3 pbc="T T T"
Sm 0.202 1.104 2.036
Sm 0.148 3.311 6.153
Sm 0.433 1.104 11.293
Sm 7.946 3.311 0.943
Sm 8.230 1.104 6.083
Sm 8.176 3.311 10.200
Np 4.448 1.104 3.763
Np 3.930 3.311 8.473
Te -1.443 1.104 4.653
Te -2.666 1.104 11.444
Te 1.990 3.311 3.445
Te 0.716 3.311 9.180
Te 2.621 1.104 6.556
Te 4.816 3.311 1.288
Te 3.563 1.104 10.948
Te 5.757 3.311 5.680
Te 7.663 1.104 3.056
Te 6.389 1.104 8.791
Te 11.045 3.311 0.792
Te 9.821 3.311 7.583
```

=====

The following is a DFT calculation (GGA-PBE) of a geometry-optimized PRh structure.

## Properties
- ΔE_f (meV/atom) = -415

Geometry as extended XYZ:
```
16
Lattice="7.103 0.000 0.000 0.000 7.103 0.000 0.000 0.000 7.103" Properties=species:S:1:pos:R:3 pbc="T T T"
P 1.276 1.276 1.276
P 1.276 5.827 5.827
P 2.276 2.276 4.827
P 2.276 4.827 2.276
P 4.827 2.276 2.276
P 4.827 4.827 4.827
P 5.827 1.276 5.827
P 5.827 5.827 1.276
Rh 1.002 1.002 6.101
Rh 1.002 6.101 1.002
Rh 2.549 2.549 2.549
Rh 2.549 4.553 4.553
Rh 4.553 2.549 4.553
Rh 4.553 4.553 2.549
Rh 6.101 1.002 1.002
Rh 6.101 6.101 6.101
```

=====

The following is a DFT calculation (GGA-PBE) of a geometry-optimized ScTa2Rh structure.

## Properties
- ΔE_f (meV/atom) = -141
- relative energy among the computed polymorphs (eV/atom) = 0.215

Geometry as extended XYZ:
```
4
Lattice="2.910 0.000 0.000 0.000 4.515 0.000 -0.986 0.000 5.366" Properties=species:S:1:pos:R:3 pbc="T T T"
Sc 0.000 0.000 0.000
Ta 0.835 0.000 2.733
Ta 1.797 2.258 1.372
Rh -0.036 2.258 4.069
```

=====

The following is a DFT calculation (GGA-PBE) of a geometry-optimized CrBIN2 structure.

## Properties
- ΔE_f (raw) (eV/atom) = 1.629
- relative energy among the computed polymorphs (eV/atom) = 0.358

Geometry as extended XYZ:
```
5
Lattice="3.475 0.000 0.000 0.000 3.475 0.000 0.000 0.000 6.542" Properties=species:S:1:pos:R:3 pbc="T T T"
Cr 0.000 0.000 0.000
B 1.737 1.737 3.271
I 1.737 1.737 0.000
N 0.000 1.737 3.271
N 1.737 0.000 3.271
```

=====

The following is a DFT calculation (GGA-PBE) of a geometry-optimized Pr4Ga2Ir structure.

## Properties
- ΔE_f (meV/atom) = -433

Geometry as extended XYZ:
```
14
Lattice="16.760 0.000 0.000 0.000 4.301 0.000 -1.912 0.000 5.518" Properties=species:S:1:pos:R:3 pbc="T T T"
Pr 0.672 0.000 2.754
Pr 2.049 2.151 0.144
Pr 4.419 0.000 5.373
Pr 5.795 2.151 2.763
Pr 9.053 2.151 2.754
Pr 10.429 0.000 0.144
Pr 12.799 2.151 5.373
Pr 14.175 0.000 2.763
Ga 2.760 2.151 3.460
Ga 3.708 0.000 2.058
Ga 11.140 0.000 3.460
Ga 12.088 2.151 2.058
Ir 0.000 0.000 0.000
Ir 8.380 2.151 0.000
```

=====

The following is a DFT calculation (GGA-PBE) of a geometry-optimized Ta2ReSb structure.

## Properties
- ΔE_f (raw) (eV/atom) = 0.186

Geometry as extended XYZ:
```
4
Lattice="3.356 0.000 0.000 0.000 3.356 0.000 0.000 0.000 6.441" Properties=species:S:1:pos:R:3 pbc="T T T"
Ta 0.000 0.000 0.000
Ta 1.678 1.678 1.726
Re 0.000 0.000 3.125
Sb 1.678 1.678 4.851
```